PmAlNi5: relaxed, GGA-PBE.

Values from the calculation:
- space group = No. 62
- DFT formation energy (eV per atom) = -0.3946
- VASP energy (eV per atom) = -5.737

Unit cell a=7.944 b=4.853 c=10.068 alpha=90.00 beta=90.00 gamma=90.00
Fractional coordinates of all 28 atoms:
Pm  0.247  0.250  0.058
Pm  0.253  0.750  0.558
Pm  0.747  0.250  0.442
Pm  0.753  0.750  0.942
Al  0.143  0.750  0.857
Al  0.357  0.250  0.357
Al  0.643  0.750  0.643
Al  0.857  0.250  0.143
Ni  0.052  0.750  0.095
Ni  0.066  0.005  0.305
Ni  0.066  0.495  0.305
Ni  0.096  0.250  0.516
Ni  0.186  0.250  0.751
Ni  0.314  0.750  0.251
Ni  0.404  0.750  0.016
Ni  0.434  0.505  0.805
Ni  0.434  0.995  0.805
Ni  0.448  0.250  0.595
Ni  0.552  0.750  0.405
Ni  0.566  0.005  0.195
Ni  0.566  0.495  0.195
Ni  0.596  0.250  0.984
Ni  0.686  0.250  0.749
Ni  0.814  0.750  0.249
Ni  0.904  0.750  0.484
Ni  0.934  0.505  0.695
Ni  0.934  0.995  0.695
Ni  0.948  0.250  0.905

---

PmAlNi: relaxed, GGA-PBE.

Values from the calculation:
- space group = No. 107
- DFT formation energy (eV per atom) = -0.3295
- excess energy over the best structure of this formula in the dataset (meV per atom) = 184
- VASP energy (eV per atom) = -5.088

Unit cell a=6.035 b=6.035 c=6.035 alpha=149.47 beta=149.47 gamma=43.72
Fractional coordinates of all 3 atoms:
Pm  0.000  0.000  0.000
Al  0.284  0.284  0.000
Ni  0.685  0.685  0.000

---

Pm12AlNi5: relaxed, GGA-PBE.

Values from the calculation:
- space group = No. 71
- DFT formation energy (eV per atom) = -0.2406
- VASP energy (eV per atom) = -5.221

Unit cell a=8.530 b=8.530 c=8.530 alpha=112.02 beta=109.63 gamma=106.80
Fractional coordinates of all 18 atoms:
Pm  0.023  0.211  0.812
Pm  0.182  0.299  0.480
Pm  0.182  0.701  0.883
Pm  0.324  0.019  0.695
Pm  0.324  0.629  0.305
Pm  0.399  0.211  0.188
Pm  0.601  0.789  0.812
Pm  0.676  0.371  0.695
Pm  0.676  0.981  0.305
Pm  0.818  0.299  0.117
Pm  0.818  0.701  0.520
Pm  0.977  0.789  0.188
Al  0.500  0.500  0.000
Ni  0.000  0.000  0.000
Ni  0.124  0.624  0.500
Ni  0.367  0.000  0.367
Ni  0.633  0.000  0.633
Ni  0.876  0.376  0.500

---

Pm3AlNi: relaxed, GGA-PBE.

Values from the calculation:
- space group = No. 12
- DFT formation energy (eV per atom) = -0.1920
- VASP energy (eV per atom) = -4.947

Unit cell a=6.711 b=6.711 c=7.890 alpha=120.51 beta=120.51 gamma=78.18
Fractional coordinates of all 10 atoms:
Pm  0.181  0.771  0.736
Pm  0.229  0.819  0.264
Pm  0.297  0.297  0.827
Pm  0.703  0.703  0.173
Pm  0.771  0.181  0.736
Pm  0.819  0.229  0.264
Al  0.271  0.271  0.202
Al  0.729  0.729  0.798
Ni  0.414  0.414  0.589
Ni  0.586  0.586  0.411

---

Pm3Al5Ni6: relaxed, GGA-PBE.

Values from the calculation:
- space group = No. 71
- DFT formation energy (eV per atom) = -0.5340
- VASP energy (eV per atom) = -5.366

Unit cell a=7.889 b=7.889 c=7.889 alpha=148.73 beta=109.86 gamma=78.79
Fractional coordinates of all 14 atoms:
Pm  0.000  0.000  0.000
Pm  0.315  0.315  0.000
Pm  0.685  0.685  0.000
Al  0.014  0.678  0.336
Al  0.343  0.678  0.664
Al  0.500  0.000  0.500
Al  0.657  0.322  0.336
Al  0.986  0.322  0.664
Ni  0.163  0.887  0.276
Ni  0.297  0.500  0.797
Ni  0.389  0.113  0.276
Ni  0.611  0.887  0.724
Ni  0.703  0.500  0.203
Ni  0.837  0.113  0.724

---

Pm4AlNi: relaxed, GGA-PBE.

Values from the calculation:
- space group = No. 140
- DFT formation energy (eV per atom) = -0.1383
- excess energy over the best structure of this formula in the dataset (meV per atom) = 126
- VASP energy (eV per atom) = -4.893

Unit cell a=8.377 b=8.377 c=8.377 alpha=130.23 beta=130.23 gamma=73.04
Fractional coordinates of all 12 atoms:
Pm  0.044  0.544  0.856
Pm  0.188  0.044  0.500
Pm  0.312  0.812  0.856
Pm  0.456  0.312  0.500
Pm  0.544  0.688  0.500
Pm  0.688  0.188  0.144
Pm  0.812  0.956  0.500
Pm  0.956  0.456  0.144
Al  0.000  0.000  0.000
Al  0.500  0.500  0.000
Ni  0.250  0.250  0.000
Ni  0.750  0.750  0.000

---

Pm4AlNi: relaxed, GGA-PBE.

Values from the calculation:
- space group = No. 216
- DFT formation energy (eV per atom) = -0.2640
- excess energy over the best structure of this formula in the dataset (meV per atom) = 0
- VASP energy (eV per atom) = -5.018

Unit cell a=9.694 b=9.694 c=9.694 alpha=60.00 beta=60.00 gamma=60.00
Fractional coordinates of all 24 atoms:
Pm  0.055  0.055  0.445
Pm  0.055  0.445  0.055
Pm  0.055  0.445  0.445
Pm  0.186  0.186  0.814
Pm  0.186  0.814  0.186
Pm  0.186  0.814  0.814
Pm  0.200  0.600  0.600
Pm  0.445  0.055  0.055
Pm  0.445  0.055  0.445
Pm  0.445  0.445  0.055
Pm  0.600  0.200  0.600
Pm  0.600  0.600  0.200
Pm  0.600  0.600  0.600
Pm  0.814  0.186  0.186
Pm  0.814  0.186  0.814
Pm  0.814  0.814  0.186
Al  0.527  0.824  0.824
Al  0.824  0.527  0.824
Al  0.824  0.824  0.527
Al  0.824  0.824  0.824
Ni  0.392  0.392  0.392
Ni  0.392  0.392  0.823
Ni  0.392  0.823  0.392
Ni  0.823  0.392  0.392

---

Pm3Al9Ni2: relaxed, GGA-PBE.

Values from the calculation:
- space group = No. 71
- DFT formation energy (eV per atom) = -0.5092
- VASP energy (eV per atom) = -4.759

Unit cell a=8.240 b=8.240 c=8.240 alpha=149.85 beta=105.02 gamma=82.88
Fractional coordinates of all 14 atoms:
Pm  0.000  0.000  0.000
Pm  0.314  0.314  0.000
Pm  0.686  0.686  0.000
Al  0.022  0.659  0.364
Al  0.161  0.881  0.280
Al  0.295  0.659  0.636
Al  0.400  0.119  0.280
Al  0.500  0.000  0.500
Al  0.600  0.881  0.720
Al  0.705  0.341  0.364
Al  0.839  0.119  0.720
Al  0.978  0.341  0.636
Ni  0.286  0.500  0.786
Ni  0.714  0.500  0.214

---

PmAlNi4: relaxed, GGA-PBE.

Values from the calculation:
- space group = No. 216
- DFT formation energy (eV per atom) = -0.3811
- excess energy over the best structure of this formula in the dataset (meV per atom) = 0
- VASP energy (eV per atom) = -5.651

Unit cell a=4.949 b=4.949 c=4.949 alpha=60.00 beta=60.00 gamma=60.00
Fractional coordinates of all 6 atoms:
Pm  0.000  0.000  0.000
Al  0.750  0.750  0.750
Ni  0.377  0.377  0.377
Ni  0.377  0.377  0.870
Ni  0.377  0.870  0.377
Ni  0.870  0.377  0.377

---

Pm11Al9Ni4: relaxed, GGA-PBE.

Values from the calculation:
- space group = No. 65
- DFT formation energy (eV per atom) = -0.4168
- VASP energy (eV per atom) = -4.961

Unit cell a=12.830 b=12.830 c=3.682 alpha=90.00 beta=90.00 gamma=112.73
Fractional coordinates of all 24 atoms:
Pm  0.000  0.000  0.000
Pm  0.070  0.414  0.000
Pm  0.165  0.835  0.000
Pm  0.311  0.311  0.000
Pm  0.375  0.625  0.000
Pm  0.414  0.070  0.000
Pm  0.586  0.930  0.000
Pm  0.625  0.375  0.000
Pm  0.689  0.689  0.000
Pm  0.835  0.165  0.000
Pm  0.930  0.586  0.000
Al  0.085  0.220  0.500
Al  0.170  0.632  0.500
Al  0.220  0.085  0.500
Al  0.368  0.830  0.500
Al  0.500  0.500  0.500
Al  0.632  0.170  0.500
Al  0.780  0.915  0.500
Al  0.830  0.368  0.500
Al  0.915  0.780  0.500
Ni  0.242  0.446  0.500
Ni  0.446  0.242  0.500
Ni  0.554  0.758  0.500
Ni  0.758  0.554  0.500

---

Pm2Al6Ni: relaxed, GGA-PBE.

Values from the calculation:
- space group = No. 164
- DFT formation energy (eV per atom) = -0.4517
- VASP energy (eV per atom) = -4.645

Unit cell a=5.971 b=5.971 c=5.629 alpha=90.00 beta=90.00 gamma=120.00
Fractional coordinates of all 9 atoms:
Pm  0.333  0.667  0.333
Pm  0.667  0.333  0.667
Al  0.169  0.338  0.809
Al  0.169  0.831  0.809
Al  0.338  0.169  0.191
Al  0.662  0.831  0.809
Al  0.831  0.169  0.191
Al  0.831  0.662  0.191
Ni  0.000  0.000  0.500

---

Pm2AlNi4: relaxed, GGA-PBE.

Values from the calculation:
- space group = No. 139
- DFT formation energy (eV per atom) = -0.0029
- VASP energy (eV per atom) = -5.198

Unit cell a=7.810 b=7.810 c=7.810 alpha=147.54 beta=147.54 gamma=46.56
Fractional coordinates of all 7 atoms:
Pm  0.143  0.143  0.000
Pm  0.857  0.857  0.000
Al  0.500  0.500  0.000
Ni  0.000  0.500  0.500
Ni  0.342  0.342  0.000
Ni  0.500  0.000  0.500
Ni  0.658  0.658  0.000